The following is a DFT calculation (PBE-GGA) of Er6Sb2AsSe3 after structural relaxation.

a = 9.303 Å, b = 9.303 Å, c = 8.313 Å
α = 102.54°, β = 102.54°, γ = 25.82°
Atoms (fractional coordinates):
Er (0.002, 0.002, 0.264)
Er (0.338, 0.338, 0.908)
Er (0.340, 0.340, 0.427)
Er (0.660, 0.660, 0.573)
Er (0.662, 0.662, 0.092)
Er (0.998, 0.998, 0.736)
Sb (0.168, 0.168, 0.835)
Sb (0.832, 0.832, 0.165)
As (0.500, 0.500, 0.500)
Se (0.169, 0.169, 0.336)
Se (0.500, 0.500, 0.000)
Se (0.831, 0.831, 0.664)

The space group is C2/m, No. 12. For the uncorrected formation energy, the calculation gives -1482 meV/atom.